A plane-wave DFT calculation with meta-GGA SCAN was carried out for La2CoPt2 at its PBEsol-relaxed geometry.

Values from the calculation:
VASP energy = -49.49 eV per atom

Structure (CIF):
```
data_La2CoPt2
_cell_length_a 5.620
_cell_length_b 5.620
_cell_length_c 7.520
_cell_angle_alpha 90.00
_cell_angle_beta 90.00
_cell_angle_gamma 90.00
_symmetry_space_group_name_H-M 'I 4/m m m'
_symmetry_Int_Tables_number 139
_symmetry_space_group_name_Hall '-I 4 2'
loop_
_atom_site_label
_atom_site_type_symbol
_atom_site_fract_x
_atom_site_fract_y
_atom_site_fract_z
La1 La 0.000 0.500 0.250
Co1 Co 0.000 0.000 0.000
Pt1 Pt 0.000 0.000 0.326
```